(1)
Density functional theory data (PBE) for a geometry-optimized LiYI2N structure. Values from VASP.

```
&SYSTEM
  ibrav = 0, nat = 5, ntyp = 4
/
ATOMIC_SPECIES
Li 6.94 Li.upf
Y 88.91 Y.upf
I 126.90 I.upf
N 14.01 N.upf
ATOMIC_POSITIONS crystal
Li 0.000 0.000 0.000
Y 0.500 0.500 0.500
I 0.000 0.500 0.000
I 0.500 0.000 0.000
N 0.000 0.000 0.500
CELL_PARAMETERS angstrom
5.498 0.000 0.000
0.000 5.498 0.000
0.000 0.000 3.904
```

Results
energy = -19.5 eV/cell
space-group type = P4/mmm
energy above the lowest structure with this stoichiometry = 571.1 meV/atom
formation energy from raw total energies = 0.06 eV/atom


(2)
Density functional theory data (PBE) for a geometry-optimized LiZnIN2 structure. Values from VASP.

```
&SYSTEM
  ibrav = 0, nat = 5, ntyp = 4
/
ATOMIC_SPECIES
Li 6.94 Li.upf
Zn 65.41 Zn.upf
I 126.90 I.upf
N 14.01 N.upf
ATOMIC_POSITIONS crystal
Li 0.000 0.000 0.000
Zn 0.500 0.500 0.500
I 0.500 0.500 0.000
N 0.000 0.500 0.500
N 0.500 0.000 0.500
CELL_PARAMETERS angstrom
4.003 0.000 0.000
0.000 4.003 0.000
0.000 0.000 6.516
```

Results
energy = -16.6 eV/cell
space-group type = P4/mmm
energy above the lowest structure with this stoichiometry = 0.0 meV/atom
formation energy from raw total energies = 0.95 eV/atom


(3)
Density functional theory data (PBE) for a geometry-optimized LiZnIN2 structure. Values from VASP.

```
&SYSTEM
  ibrav = 0, nat = 5, ntyp = 4
/
ATOMIC_SPECIES
Li 6.94 Li.upf
Zn 65.41 Zn.upf
I 126.90 I.upf
N 14.01 N.upf
ATOMIC_POSITIONS crystal
Li 0.000 0.000 0.000
Zn 0.500 0.500 0.500
I 0.000 0.000 0.500
N 0.000 0.500 0.000
N 0.500 0.000 0.000
CELL_PARAMETERS angstrom
4.139 0.000 0.000
0.000 4.139 0.000
0.000 0.000 5.910
```

Results
energy = -13.8 eV/cell
space-group type = P4/mmm
energy above the lowest structure with this stoichiometry = 555.8 meV/atom
formation energy from raw total energies = 1.51 eV/atom


(4)
Density functional theory data (PBE) for a geometry-optimized LiZrI2N structure. Values from VASP.

```
&SYSTEM
  ibrav = 0, nat = 5, ntyp = 4
/
ATOMIC_SPECIES
Li 6.94 Li.upf
Zr 91.22 Zr.upf
I 126.90 I.upf
N 14.01 N.upf
ATOMIC_POSITIONS crystal
Li 0.000 0.000 0.000
Zr 0.500 0.500 0.500
I 0.000 0.500 0.500
I 0.500 0.000 0.500
N 0.500 0.500 0.000
CELL_PARAMETERS angstrom
5.987 0.000 0.000
0.000 5.987 0.000
0.000 0.000 4.059
```

Results
energy = -24.4 eV/cell
space-group type = P4/mmm
energy above the lowest structure with this stoichiometry = 0.0 meV/atom
formation energy from raw total energies = -0.50 eV/atom


(5)
Density functional theory data (PBE) for a geometry-optimized LiZrI2N structure. Values from VASP.

```
&SYSTEM
  ibrav = 0, nat = 5, ntyp = 4
/
ATOMIC_SPECIES
Li 6.94 Li.upf
Zr 91.22 Zr.upf
I 126.90 I.upf
N 14.01 N.upf
ATOMIC_POSITIONS crystal
Li 0.000 0.000 0.000
Zr 0.500 0.500 0.500
I 0.000 0.500 0.000
I 0.500 0.000 0.000
N 0.000 0.000 0.500
CELL_PARAMETERS angstrom
5.280 0.000 0.000
0.000 5.280 0.000
0.000 0.000 3.683
```

Results
energy = -18.9 eV/cell
space-group type = P4/mmm
energy above the lowest structure with this stoichiometry = 1092.5 meV/atom
formation energy from raw total energies = 0.59 eV/atom


(6)
Density functional theory data (PBE) for a geometry-optimized Na2LiI structure. Values from VASP.

```
&SYSTEM
  ibrav = 0, nat = 8, ntyp = 3
/
ATOMIC_SPECIES
Na 22.99 Na.upf
Li 6.94 Li.upf
I 126.90 I.upf
ATOMIC_POSITIONS crystal
Na 0.101 0.625 0.976
Na 0.375 0.351 0.476
Na 0.649 0.125 0.024
Na 0.875 0.899 0.524
Li 0.250 0.750 0.500
Li 0.500 0.500 0.000
I 0.000 0.000 0.000
I 0.750 0.250 0.500
CELL_PARAMETERS angstrom
-4.368 4.368 3.992
4.368 -4.368 3.992
4.368 4.368 -3.992
```

Results
energy = -14.8 eV/cell
space-group type = I-42d
energy above the lowest structure with this stoichiometry = 168.5 meV/atom
formation energy from raw total energies = -0.32 eV/atom


(7)
Density functional theory data (PBE) for a geometry-optimized NaLiI structure. Values from VASP.

```
&SYSTEM
  ibrav = 0, nat = 6, ntyp = 3
/
ATOMIC_SPECIES
Na 22.99 Na.upf
Li 6.94 Li.upf
I 126.90 I.upf
ATOMIC_POSITIONS crystal
Na 0.000 0.000 0.000
Na 0.492 0.496 0.618
Li 0.495 0.498 0.317
Li 0.993 0.997 0.459
I 0.499 0.500 0.069
I 0.992 0.996 0.719
CELL_PARAMETERS angstrom
4.314 0.000 0.000
0.010 4.314 0.000
0.016 0.013 11.160
```

Results
energy = -13.8 eV/cell
space-group type = P1
energy above the lowest structure with this stoichiometry = 0.0 meV/atom
formation energy from raw total energies = -0.71 eV/atom


(8)
Density functional theory data (PBE) for a geometry-optimized Na2LiI structure. Values from VASP.

```
&SYSTEM
  ibrav = 0, nat = 4, ntyp = 3
/
ATOMIC_SPECIES
Na 22.99 Na.upf
Li 6.94 Li.upf
I 126.90 I.upf
ATOMIC_POSITIONS crystal
Na 0.000 0.000 0.245
Na 0.000 0.000 0.755
Li 0.500 0.500 0.000
I 0.500 0.500 0.500
CELL_PARAMETERS angstrom
4.125 0.000 0.000
0.000 4.125 0.000
0.000 0.000 7.206
```

Results
energy = -8.1 eV/cell
space-group type = P4/mmm
energy above the lowest structure with this stoichiometry = 0.0 meV/atom
formation energy from raw total energies = -0.49 eV/atom


(9)
Density functional theory data (PBE) for a geometry-optimized NaLi2I structure. Values from VASP.

```
&SYSTEM
  ibrav = 0, nat = 4, ntyp = 3
/
ATOMIC_SPECIES
Na 22.99 Na.upf
Li 6.94 Li.upf
I 126.90 I.upf
ATOMIC_POSITIONS crystal
Na 0.000 0.000 0.000
Li 0.250 0.250 0.250
Li 0.750 0.750 0.750
I 0.500 0.500 0.500
CELL_PARAMETERS angstrom
0.000 3.852 3.852
3.852 0.000 3.852
3.852 3.852 0.000
```

Results
energy = -7.6 eV/cell
space-group type = Fm-3m
energy above the lowest structure with this stoichiometry = 119.3 meV/atom
formation energy from raw total energies = -0.23 eV/atom


(10)
Density functional theory data (PBE) for a geometry-optimized NaLi2I3 structure. Values from VASP.

```
&SYSTEM
  ibrav = 0, nat = 12, ntyp = 3
/
ATOMIC_SPECIES
Na 22.99 Na.upf
Li 6.94 Li.upf
I 126.90 I.upf
ATOMIC_POSITIONS crystal
Na 0.089 0.911 0.500
Na 0.911 0.089 0.000
Li 0.257 0.746 0.006
Li 0.415 0.580 0.502
Li 0.580 0.415 0.002
Li 0.746 0.257 0.506
I 0.043 0.237 0.401
I 0.237 0.043 0.901
I 0.405 0.873 0.373
I 0.519 0.682 0.869
I 0.682 0.519 0.369
I 0.873 0.405 0.873
CELL_PARAMETERS angstrom
4.069 -7.150 0.000
4.069 7.150 0.000
-2.530 0.000 7.646
```

Results
energy = -34.1 eV/cell
space-group type = Cc
energy above the lowest structure with this stoichiometry = 0.0 meV/atom
formation energy from raw total energies = -1.21 eV/atom


(11)
Density functional theory data (PBE) for a geometry-optimized Na2LiI structure. Values from VASP.

```
&SYSTEM
  ibrav = 0, nat = 4, ntyp = 3
/
ATOMIC_SPECIES
Na 22.99 Na.upf
Li 6.94 Li.upf
I 126.90 I.upf
ATOMIC_POSITIONS crystal
Na 0.250 0.250 0.250
Na 0.750 0.750 0.750
Li 0.000 0.000 0.000
I 0.500 0.500 0.500
CELL_PARAMETERS angstrom
0.000 4.053 4.053
4.053 0.000 4.053
4.053 4.053 0.000
```

Results
energy = -7.2 eV/cell
space-group type = Fm-3m
energy above the lowest structure with this stoichiometry = 210.9 meV/atom
formation energy from raw total energies = -0.28 eV/atom


(12)
Density functional theory data (PBE) for a geometry-optimized Na2Li3I6 structure. Values from VASP.

```
&SYSTEM
  ibrav = 0, nat = 11, ntyp = 3
/
ATOMIC_SPECIES
Na 22.99 Na.upf
Li 6.94 Li.upf
I 126.90 I.upf
ATOMIC_POSITIONS crystal
Na 0.000 0.000 0.000
Na 0.333 0.667 0.395
Li 0.333 0.667 0.788
Li 0.667 0.333 0.210
Li 0.667 0.333 0.586
I 0.333 0.667 0.251
I 0.333 0.667 0.619
I 0.333 0.667 0.917
I 0.667 0.333 0.081
I 0.667 0.333 0.456
I 0.667 0.333 0.766
CELL_PARAMETERS angstrom
4.711 0.000 0.000
-2.355 4.080 0.000
0.000 0.000 21.448
```

Results
energy = -28.9 eV/cell
space-group type = P3m1
formation energy from raw total energies = -1.02 eV/atom


(13)
Density functional theory data (PBE) for a geometry-optimized Na2Li2I structure. Values from VASP.

```
&SYSTEM
  ibrav = 0, nat = 10, ntyp = 3
/
ATOMIC_SPECIES
Na 22.99 Na.upf
Li 6.94 Li.upf
I 126.90 I.upf
ATOMIC_POSITIONS crystal
Na 0.156 0.344 0.000
Na 0.344 0.844 0.000
Na 0.656 0.156 0.000
Na 0.844 0.656 0.000
Li 0.139 0.639 0.500
Li 0.361 0.139 0.500
Li 0.639 0.861 0.500
Li 0.861 0.361 0.500
I 0.000 0.000 0.500
I 0.500 0.500 0.500
CELL_PARAMETERS angstrom
7.572 0.000 0.000
0.000 7.572 0.000
0.000 0.000 5.447
```

Results
energy = -18.9 eV/cell
space-group type = P4/mbm
energy above the lowest structure with this stoichiometry = 0.0 meV/atom
formation energy from raw total energies = -0.28 eV/atom


(14)
Density functional theory data (PBE) for a geometry-optimized NaLiI structure. Values from VASP.

```
&SYSTEM
  ibrav = 0, nat = 3, ntyp = 3
/
ATOMIC_SPECIES
Na 22.99 Na.upf
Li 6.94 Li.upf
I 126.90 I.upf
ATOMIC_POSITIONS crystal
Na 0.000 0.000 0.000
Li 0.667 0.333 0.560
I 0.333 0.667 0.355
CELL_PARAMETERS angstrom
4.177 0.000 0.000
-2.089 3.618 0.000
0.000 0.000 6.955
```

Results
energy = -6.7 eV/cell
space-group type = P3m1
energy above the lowest structure with this stoichiometry = 51.1 meV/atom
formation energy from raw total energies = -0.65 eV/atom